Material: PmNd3Ho2Tm6
Method: DFT, PBE
State: optimized geometry

E_form: 24 kJ/mol of formula units

Cell lengths 6.168, 6.168, 11.701 Å; angles 95.03, 95.03, 119.97 degrees
Positions (direct):
Pm 0.000 0.000 0.000
Nd 0.167 0.833 0.500
Nd 0.833 0.167 0.500
Nd 0.500 0.500 0.500
Ho 0.333 0.667 0.000
Ho 0.667 0.333 0.000
Tm 0.917 0.584 0.753
Tm 0.749 0.749 0.247
Tm 0.083 0.416 0.247
Tm 0.584 0.917 0.753
Tm 0.251 0.251 0.753
Tm 0.416 0.083 0.247